Run w
Al2IrOs | Alexandria | meta-GGA SCAN | single point on PBEsol structure; symmetry = No. 160; M_tot = 0.000 μB per formula unit
1.0
1.3981 0.8072 8.4614
-1.3981 0.8072 8.4614
0.0000 -1.6144 8.4614
Al Ir Os
2 1 1
Direct
0.0000 0.0000 0.0000
0.2436 0.2436 0.2436
0.7451 0.7451 0.7451
0.4975 0.4975 0.4975

Run x
Al2IrOs | Alexandria | meta-GGA SCAN | single point on PBEsol structure; symmetry = No. 10; M_tot = 0.000 μB per formula unit
1.0
2.7762 0.0000 0.0000
0.0000 4.0771 0.0000
-0.2240 0.0000 4.9758
Al Ir Os
2 1 1
Direct
0.2153 0.0000 0.2458
0.7847 0.0000 0.7542
0.0000 0.5000 0.5000
0.5000 0.5000 0.0000

Verdict on stability: run w comes out at the bottom.

Run w
LiCo2Mo | Alexandria | meta-GGA SCAN | single point on PBEsol structure; symmetry = No. 123; M_tot = 1.697 μB per formula unit
1.0
4.0959 0.0000 0.0000
0.0000 4.0959 0.0000
0.0000 0.0000 2.7668
Li Co Mo
1 2 1
Direct
0.0000 0.0000 0.0000
0.0000 0.5000 0.5000
0.5000 0.0000 0.5000
0.5000 0.5000 0.0000

Run x
LiCo2Mo | Alexandria | meta-GGA SCAN | single point on PBEsol structure; symmetry = No. 166; M_tot = 2.546 μB per formula unit
1.0
1.3078 0.7551 8.3847
-1.3078 0.7551 8.3847
0.0000 -1.5101 8.3847
Li Co Mo
1 2 1
Direct
0.0000 0.0000 0.0000
0.2485 0.2485 0.2485
0.7515 0.7515 0.7515
0.5000 0.5000 0.5000

Verdict on stability: run x comes out at the bottom.

Run w
NiOsBr2 | Alexandria | meta-GGA SCAN | single point on PBEsol structure; symmetry = No. 44; M_tot = 0.001 μB per formula unit
1.0
-1.5010 2.1367 5.6813
1.5010 -2.1367 5.6813
1.5010 2.1367 -5.6813
Ni Os Br
1 1 2
Direct
0.0000 0.0000 0.0000
0.1758 0.6758 0.5000
0.3675 0.3675 0.0000
0.6395 0.1395 0.5000

Run x
NiOsBr2 | Alexandria | meta-GGA SCAN | single point on PBEsol structure; symmetry = No. 123; M_tot = 1.098 μB per formula unit
1.0
4.4957 0.0000 0.0000
0.0000 4.4957 0.0000
0.0000 0.0000 3.1081
Ni Os Br
1 1 2
Direct
0.0000 0.0000 0.0000
0.5000 0.5000 0.0000
0.0000 0.5000 0.5000
0.5000 0.0000 0.5000

Verdict on stability: run x comes out at the bottom.

Run w
MnMo2Pt | Alexandria | meta-GGA SCAN | single point on PBEsol structure; symmetry = No. 47; M_tot = 0.996 μB per formula unit
1.0
2.6960 0.0000 0.0000
0.0000 3.8026 0.0000
0.0000 0.0000 5.4515
Mn Mo Pt
1 2 1
Direct
0.0000 0.0000 0.0000
0.5000 0.5000 0.2280
0.5000 0.5000 0.7720
0.0000 0.0000 0.5000

Run x
MnMo2Pt | Alexandria | meta-GGA SCAN | single point on PBEsol structure; symmetry = No. 216; M_tot = 3.921 μB per formula unit
1.0
0.0000 3.0724 3.0724
3.0724 0.0000 3.0724
3.0724 3.0724 0.0000
Mn Mo Pt
1 2 1
Direct
0.0000 0.0000 0.0000
0.5000 0.5000 0.5000
0.7500 0.7500 0.7500
0.2500 0.2500 0.2500

Verdict on stability: run w comes out at the bottom.

Run w
Tl2AgHg | Alexandria | meta-GGA SCAN | single point on PBEsol structure; symmetry = No. 44; M_tot = 0.000 μB per formula unit
1.0
-1.6379 2.6722 5.4345
1.6379 -2.6722 5.4345
1.6379 2.6722 -5.4345
Tl Ag Hg
2 1 1
Direct
0.0000 0.0000 0.0000
0.7178 0.2178 0.5000
0.2307 0.7307 0.5000
0.4474 0.4474 0.0000

Run x
Tl2AgHg | Alexandria | meta-GGA SCAN | single point on PBEsol structure; symmetry = No. 225; M_tot = 0.000 μB per formula unit
1.0
0.0000 3.6239 3.6239
3.6239 0.0000 3.6239
3.6239 3.6239 0.0000
Tl Ag Hg
2 1 1
Direct
0.2500 0.2500 0.2500
0.7500 0.7500 0.7500
0.0000 0.0000 0.0000
0.5000 0.5000 0.5000

Verdict on stability: run x comes out at the bottom.

Run w
Co2Tc | Alexandria | meta-GGA SCAN | single point on PBEsol structure; symmetry = No. 12; M_tot = 2.276 μB per formula unit
1.0
4.5813 -1.2821 0.0000
4.5813 1.2821 0.0000
-1.5174 0.0000 5.7776
Co Tc
4 2
Direct
0.1445 0.1445 0.0291
0.1979 0.1979 0.6376
0.8021 0.8021 0.3624
0.8555 0.8555 0.9709
0.4753 0.4753 0.7002
0.5247 0.5247 0.2998

Run x
Co2Tc | Alexandria | meta-GGA SCAN | single point on PBEsol structure; symmetry = No. 63; M_tot = 1.490 μB per formula unit
1.0
3.7810 -2.1909 0.0000
3.7810 2.1909 0.0000
0.0000 0.0000 4.0409
Co Tc
4 2
Direct
0.0076 0.3357 0.2500
0.3357 0.0076 0.7500
0.6643 0.9924 0.2500
0.9924 0.6643 0.7500
0.3181 0.6819 0.2500
0.6819 0.3181 0.7500

Verdict on stability: run w comes out at the bottom.

Run w
ScP2Cl | Alexandria | meta-GGA SCAN | single point on PBEsol structure; symmetry = No. 6; M_tot = 0.000 μB per formula unit
1.0
3.7902 0.0000 0.0000
0.0000 3.3222 0.0000
-0.0189 0.0000 6.6975
Sc P Cl
1 2 1
Direct
0.0000 0.0000 0.0000
0.4964 0.5000 0.1314
0.5552 0.0000 0.3400
0.0220 0.5000 0.7159

Run x
ScP2Cl | Alexandria | meta-GGA SCAN | single point on PBEsol structure; symmetry = No. 160; M_tot = 0.000 μB per formula unit
1.0
1.9049 1.0998 6.4232
-1.9049 1.0998 6.4232
0.0000 -2.1996 6.4232
Sc P Cl
1 2 1
Direct
0.0000 0.0000 0.0000
0.2541 0.2541 0.2541
0.5616 0.5616 0.5616
0.7443 0.7443 0.7443

Verdict on stability: run x comes out at the bottom.

Run w
Li2CoSiO4 | Alexandria | meta-GGA SCAN | single point on PBEsol structure; symmetry = No. 31; M_tot = 3.000 μB per formula unit
1.0
6.0826 0.0000 0.0000
0.0000 5.3772 0.0000
0.0000 0.0000 4.9159
Li Co Si O
4 2 2 8
Direct
0.2482 0.1666 0.0000
0.2518 0.8334 0.5000
0.7482 0.8334 0.5000
0.7518 0.1666 0.0000
0.0000 0.3386 0.4982
0.5000 0.6614 0.9982
0.0000 0.6700 0.9935
0.5000 0.3300 0.4935
0.0000 0.3790 0.0996
0.0000 0.6703 0.6584
0.2208 0.8183 0.1020
0.2792 0.1817 0.6020
0.5000 0.3297 0.1584
0.5000 0.6210 0.5996
0.7208 0.1817 0.6020
0.7792 0.8183 0.1020

Run x
Li2CoSiO4 | Alexandria | meta-GGA SCAN | single point on PBEsol structure; symmetry = No. 62; M_tot = 3.000 μB per formula unit
1.0
10.7693 0.0000 0.0000
0.0000 6.1056 0.0000
0.0000 0.0000 5.0292
Li Co Si O
8 4 4 16
Direct
0.1686 0.0052 0.2001
0.1686 0.4948 0.2001
0.3314 0.5052 0.7001
0.3314 0.9948 0.7001
0.6686 0.0052 0.2999
0.6686 0.4948 0.2999
0.8314 0.5052 0.7999
0.8314 0.9948 0.7999
0.0763 0.7500 0.8070
0.4237 0.2500 0.3070
0.5763 0.7500 0.6930
0.9237 0.2500 0.1930
0.0846 0.2500 0.6913
0.4154 0.7500 0.1913
0.5846 0.2500 0.8087
0.9154 0.7500 0.3087
0.0596 0.7500 0.2034
0.0845 0.2500 0.3630
0.1601 0.0325 0.7986
0.1601 0.4675 0.7986
0.3399 0.5325 0.2986
0.3399 0.9675 0.2986
0.4155 0.7500 0.8630
0.4404 0.2500 0.7034
0.5596 0.7500 0.2966
0.5845 0.2500 0.1370
0.6601 0.0325 0.7014
0.6601 0.4675 0.7014
0.8399 0.5325 0.2014
0.8399 0.9675 0.2014
0.9155 0.7500 0.6370
0.9404 0.2500 0.7966

Verdict on stability: run x comes out at the bottom.